Record 1
DFT (meta-GGA SCAN) results for a PBEsol-optimized structure of La2ZnSi.

Properties
E_form (uncorrected)	-468.3	meV per atom
space group	No. 47
density	6.284	g/cm3
magnetic moment	0.0	μB per formula unit

extended XYZ file:
```
4
Lattice="-1.2399 -3.0246 1.0145 3.7141 -1.4474 0.2241 0.4154 2.1257 6.8456" Properties=species:S:1:pos:R:3 pbc="T T T"
Zn 1.4448 -1.1732 4.0420
Si 1.2371 -2.2360 0.6193
La 0.3167 1.6205 5.2186
La 0.0987 0.5052 1.6270
```

Record 2
DFT (meta-GGA SCAN) results for a PBEsol-optimized structure of LaZnSi2.

Properties
E_form (uncorrected)	-228.8	meV per atom
space group	No. 122
density	4.872	g/cm3
magnetic moment	0.0	μB per formula unit

extended XYZ file:
```
8
Lattice="-2.7232 1.5165 -3.4477 -0.7817 -4.3894 -1.3132 -4.7630 1.1012 7.3794" Properties=species:S:1:pos:R:3 pbc="T T T"
Zn -4.6193 0.5906 0.7757
Zn -1.7525 -1.4365 -2.3804
Si -3.3175 -2.7620 -1.1307
Si -3.4452 -0.2785 -1.1307
Si -4.1313 -0.2125 4.7362
Si -5.6418 -0.2903 2.7623
La -3.6486 -2.3623 1.8429
La 0.0000 0.0000 0.0000
```

Record 3
DFT (meta-GGA SCAN) results for a PBEsol-optimized structure of La2ZnSi.

Properties
E_form (uncorrected)	-494.7	meV per atom
space group	No. 25
density	6.538	g/cm3
magnetic moment	0.0	μB per formula unit

extended XYZ file:
```
4
Lattice="-3.7475 -0.9433 0.8828 1.3275 -1.2330 4.3181 -0.8169 4.7496 1.6074" Properties=species:S:1:pos:R:3 pbc="T T T"
Zn -1.3776 -0.1137 2.9302
Si -2.3226 2.1378 1.3245
La -0.0590 0.3431 0.1161
La 0.1138 2.5809 3.2411
```

Record 4
DFT (meta-GGA SCAN) results for a PBEsol-optimized structure of LaZr2ZnSi.

Properties
E_form (uncorrected)	1646.8	meV per atom
space group	No. 123
density	5.246	g/cm3
magnetic moment	0.0	μB per formula unit

extended XYZ file:
```
5
Lattice="5.0488 0.0000 0.0000 0.0000 5.1001 0.0000 0.0000 0.0000 5.1001" Properties=species:S:1:pos:R:3 pbc="T T T"
Zn 2.5244 0.0000 0.0000
Si 2.5244 2.5500 2.5500
Zr 0.0000 0.0000 2.5500
Zr 0.0000 2.5500 0.0000
La 0.0000 0.0000 0.0000
```